K3Pu2HgTe6 | PBE | optimized geometry

a = 7.9085 Å, b = 7.9085 Å, c = 8.5332 Å
α = 98.64°, β = 98.64°, γ = 120.27°
Closest atoms and distances in Å follow each position.
Element x y z (fractional)
K1 0.0000 0.0000 0.0000  6 Te 3.56-3.58
K2 0.3377 0.6623 0.0000  6 Te 3.54-3.55
K3 0.6623 0.3377 0.0000  6 Te 3.54-3.55
Pu1 0.1677 0.8323 0.5000  6 Te 3.09-3.12
Pu2 0.8323 0.1677 0.5000  6 Te 3.09-3.12
Hg1 0.5000 0.5000 0.5000  6 Te 3.09-3.19
Te1 0.0894 0.4308 0.2915  2 Pu 3.09-3.10, 1 Hg 3.19
Te2 0.2332 0.2332 0.7014  1 Hg 3.09, 2 Pu 3.12
Te3 0.4308 0.0894 0.2915  2 Pu 3.09-3.10, 1 Hg 3.19
Te4 0.5692 0.9106 0.7085  2 Pu 3.09-3.10, 1 Hg 3.19
Te5 0.7668 0.7668 0.2986  1 Hg 3.09, 2 Pu 3.12
Te6 0.9106 0.5692 0.7085  2 Pu 3.09-3.10, 1 Hg 3.19

**Total magnetic moment**: 9.0 μB/cell
**Final energy**: -5.11 eV per atom